No. 1
# Li2SbIr2 (PBE, optimized geometry)
data_Li2SbIr2
_chemical_formula_sum 'Li4 Sb2 Ir4'
_symmetry_space_group_name_H-M 'P 4/m b m'
_symmetry_Int_Tables_number 127
_symmetry_space_group_name_Hall '-P 4 2ab'
_cell_length_a 6.501
_cell_length_b 6.501
_cell_length_c 4.286
_cell_angle_alpha 90.00
_cell_angle_beta 90.00
_cell_angle_gamma 90.00
loop_
_atom_site_label
_atom_site_type_symbol
_atom_site_fract_x
_atom_site_fract_y
_atom_site_fract_z
_atom_site_occupancy
Li1 Li 0.156 0.344 0.000 1
Sb1 Sb 0.000 0.000 0.500 1
Ir1 Ir 0.135 0.635 0.500 1
# E_form (uncorrected)	-0.10	eV/atom
# DOS(E_F)	5.16	states/eV per cell
# crystal system	tetragonal
# magnetic moment	0.00	Bohr magnetons per cell

***

No. 2
# TlCdIn (PBE, optimized geometry)
data_TlCdIn
_chemical_formula_sum 'Tl2 Cd2 In2'
_symmetry_space_group_name_H-M 'P 3 m 1'
_symmetry_Int_Tables_number 156
_cell_length_a 4.7934
_cell_length_b 4.7934
_cell_length_c 9.2712
_cell_angle_alpha 90.00
_cell_angle_beta 90.00
_cell_angle_gamma 120.00
loop_
_symmetry_equiv_pos_as_xyz
'x,y,z'
'-y,x-y,z'
'-x+y,-x,z'
'-y,-x,z'
'-x+y,y,z'
'x,x-y,z'
loop_
_atom_site_label
_atom_site_type_symbol
_atom_site_fract_x
_atom_site_fract_y
_atom_site_fract_z
_atom_site_occupancy
Tl1 Tl 0.0000 0.0000 0.0000 1
Tl2 Tl 0.3333 0.6667 0.2013 1
Cd1 Cd 0.0000 0.0000 0.6691 1
Cd2 Cd 0.6667 0.3333 0.5272 1
In1 In 0.0000 0.0000 0.3570 1
In2 In 0.3333 0.6667 0.7942 1
# DOS(E_F)	2.91	states/eV per cell
# crystal system	trigonal
# energy relative to the elements	0.1150	eV/atom
# magnetic moment	0.00	Bohr magnetons per cell

***

No. 3
# SrAl2GaRu (PBE, optimized geometry)
data_SrAl2GaRu
_chemical_formula_sum 'Sr1 Al2 Ga1 Ru1'
_symmetry_space_group_name_H-M 'P 4/m m m'
_symmetry_Int_Tables_number 123
_symmetry_space_group_name_Hall '-P 4 2'
_cell_length_a 4.770
_cell_length_b 4.770
_cell_length_c 4.843
_cell_angle_alpha 90.00
_cell_angle_beta 90.00
_cell_angle_gamma 90.00
loop_
_atom_site_label
_atom_site_type_symbol
_atom_site_fract_x
_atom_site_fract_y
_atom_site_fract_z
_atom_site_occupancy
Sr1 Sr 0.000 0.000 0.000 1
Al1 Al 0.000 0.500 0.500 1
Ga1 Ga 0.500 0.500 0.000 1
Ru1 Ru 0.500 0.500 0.500 1
# DOS(E_F)	3.85	states/eV per cell
# crystal system	tetragonal
# energy relative to the elements	-0.3801	eV/atom
# magnetic moment	0.00	Bohr magnetons per cell

***

No. 4
# MgReIr (PBE, optimized geometry)
data_MgReIr
_chemical_formula_sum 'Mg4 Re4 Ir4'
_symmetry_space_group_name_H-M 'P n m a'
_symmetry_Int_Tables_number 62
_cell_length_a 6.878
_cell_length_b 4.254
_cell_length_c 7.221
_cell_angle_alpha 90.00
_cell_angle_beta 90.00
_cell_angle_gamma 90.00
loop_
_symmetry_equiv_pos_as_xyz
'x,y,z'
'-x,-y,-z'
'-x+1/2,-y,z+1/2'
'x+1/2,y,-z+1/2'
'x+1/2,-y+1/2,-z+1/2'
'-x+1/2,y+1/2,z+1/2'
'-x,y+1/2,-z'
'x,-y+1/2,z'
loop_
_atom_site_label
_atom_site_type_symbol
_atom_site_fract_x
_atom_site_fract_y
_atom_site_fract_z
_atom_site_occupancy
Mg1 Mg 0.011 0.250 0.176 1
Re1 Re 0.163 0.250 0.584 1
Ir1 Ir 0.195 0.750 0.400 1
# DOS(E_F)	6.52	states/eV per cell
# crystal system	orthorhombic
# energy relative to the elements	-0.0095	eV/atom
# magnetic moment	0.00	Bohr magnetons per cell

***

No. 5
# NdPa2RhN5 (PBE, optimized geometry)
data_NdPa2RhN5
_chemical_formula_sum 'Nd4 Pa8 Rh4 N20'
_symmetry_space_group_name_H-M 'C m c 21'
_symmetry_Int_Tables_number 36
_cell_length_a 3.433
_cell_length_b 14.120
_cell_length_c 10.241
_cell_angle_alpha 90.00
_cell_angle_beta 90.00
_cell_angle_gamma 90.00
loop_
_symmetry_equiv_pos_as_xyz
'x,y,z'
'-x,-y,z+1/2'
'-x,y,z'
'x,-y,z+1/2'
'x+1/2,y+1/2,z'
'-x+1/2,-y+1/2,z+1/2'
'-x+1/2,y+1/2,z'
'x+1/2,-y+1/2,z+1/2'
loop_
_atom_site_label
_atom_site_type_symbol
_atom_site_fract_x
_atom_site_fract_y
_atom_site_fract_z
_atom_site_occupancy
Nd1 Nd 0.000 0.202 0.000 1
Pa1 Pa 0.000 0.098 0.691 1
Pa2 Pa 0.000 0.131 0.301 1
Rh1 Rh 0.000 0.478 0.471 1
N1 N 0.000 0.050 0.098 1
N2 N 0.000 0.284 0.710 1
N3 N 0.000 0.350 0.350 1
N4 N 0.000 0.374 0.031 1
N5 N 0.000 0.477 0.785 1
# E_form (uncorrected)	-1.00	eV/atom
# DOS(E_F)	11.59	states/eV per cell
# crystal system	orthorhombic
# magnetic moment	0.00	Bohr magnetons per cell

***

No. 6
# ScCu2Rh2 (PBE, optimized geometry)
data_ScCu2Rh2
_chemical_formula_sum 'Sc2 Cu4 Rh4'
_symmetry_space_group_name_H-M 'P 4/m b m'
_symmetry_Int_Tables_number 127
_symmetry_space_group_name_Hall '-P 4 2ab'
_cell_length_a 6.843
_cell_length_b 6.843
_cell_length_c 3.158
_cell_angle_alpha 90.00
_cell_angle_beta 90.00
_cell_angle_gamma 90.00
loop_
_atom_site_label
_atom_site_type_symbol
_atom_site_fract_x
_atom_site_fract_y
_atom_site_fract_z
_atom_site_occupancy
Sc1 Sc 0.000 0.000 0.000 1
Cu1 Cu 0.128 0.372 0.000 1
Rh1 Rh 0.169 0.669 0.500 1
# DOS(E_F)	12.09	states/eV per cell
# crystal system	tetragonal
# energy relative to the elements	-0.2412	eV/atom
# magnetic moment	0.00	Bohr magnetons per cell

***

| no. | mass density (g/cm³) |
| --- | --- |
| 1 | 9.5 |
| 2 | 7.8 |
| 3 | 4.7 |
| 4 | 12.7 |
| 5 | 10.4 |
| 6 | 8.5 |